CaNbO2F at its PBEsol-relaxed geometry. Source: the Alexandria database, functional SCAN.

Cell lengths 4.0422, 4.0422, 4.2039 Å; angles 90.00, 90.00, 90.00 degrees
Space group P4/mmm (No. 123)
One atom of each set of equivalent atoms:
Ca (0.0000, 0.0000, 0.0000) [1 per cell]
Nb (0.5000, 0.5000, 0.5000) [1 per cell]
O (0.0000, 0.5000, 0.5000) [2 per cell]
F (0.5000, 0.5000, 0.0000) [1 per cell]

For the uncorrected formation energy, the calculation gives -12.67 eV per formula unit. The total moment is 0.000 μB per atom. The volume is 13.74 Å³/atom. As for the density: 4.4 g cm⁻³.